Entry 1:
First-principles (GGA-PBE) data for a geometry-optimized Ca3BiH2 structure, as listed in the Alexandria database.

Size of the total moment   0.09 μB per atom
SG   Cmcm
Excess energy over the best structure of this formula in the dataset   0 kJ/mol of formula units
VASP energy   -3.4055 eV per atom

Unit cell a=5.3342 b=7.2049 c=7.2049 alpha=100.87 beta=90.00 gamma=90.00
Fractional coordinates of all 12 atoms:
1 Ca 0.7500 0.1091 0.8909
2 Ca 0.7500 0.1803 0.4020
3 Ca 0.2500 0.4020 0.1803
4 Ca 0.7500 0.5980 0.8197
5 Ca 0.2500 0.8197 0.5980
6 Ca 0.2500 0.8909 0.1091
7 Bi 0.2500 0.3145 0.6855
8 Bi 0.7500 0.6855 0.3145
9 H 0.0000 0.1488 0.1488
10 H 0.5000 0.1488 0.1488
11 H 0.0000 0.8512 0.8512
12 H 0.5000 0.8512 0.8512

Entry 2:
First-principles (GGA-PBE) data for a geometry-optimized Ca3Bi2H structure, as listed in the Alexandria database.

Size of the total moment   0.00 μB per atom
SG   Cmcm
Excess energy over the best structure of this formula in the dataset   83 kJ/mol of formula units
VASP energy   -3.4722 eV per atom

Unit cell a=6.8395 b=7.0932 c=7.0932 alpha=103.02 beta=90.00 gamma=90.00
Fractional coordinates of all 12 atoms:
1 Ca 0.2500 0.3552 0.3552
2 Ca 0.7500 0.6448 0.6448
3 Ca 0.5000 0.1627 0.8373
4 Ca 0.0000 0.1627 0.8373
5 Ca 0.5000 0.8373 0.1627
6 Ca 0.0000 0.8373 0.1627
7 Bi 0.7500 0.4562 0.1553
8 Bi 0.2500 0.5438 0.8447
9 Bi 0.2500 0.8447 0.5438
10 Bi 0.7500 0.1553 0.4562
11 H 0.7500 0.9215 0.9215
12 H 0.2500 0.0785 0.0785

Entry 3:
First-principles (GGA-PBE) data for a geometry-optimized Ca6Bi2H structure, as listed in the Alexandria database.

Size of the total moment   0.00 μB per atom
SG   P4_2/mnm
VASP energy   -2.9196 eV per atom

Unit cell a=6.9928 b=6.9928 c=13.5678 alpha=90.00 beta=90.00 gamma=90.00
Fractional coordinates of all 18 atoms:
1 Ca 0.3045 0.3045 0.3681
2 Ca 0.6955 0.6955 0.3681
3 Ca 0.1955 0.8045 0.8681
4 Ca 0.8045 0.1955 0.8681
5 Ca 0.1955 0.8045 0.1319
6 Ca 0.8045 0.1955 0.1319
7 Ca 0.3045 0.3045 0.6319
8 Ca 0.6955 0.6955 0.6319
9 Ca 0.2941 0.2941 0.0000
10 Ca 0.7059 0.7059 0.0000
11 Ca 0.2059 0.7941 0.5000
12 Ca 0.7941 0.2059 0.5000
13 Bi 0.0000 0.0000 0.3130
14 Bi 0.5000 0.5000 0.8130
15 Bi 0.5000 0.5000 0.1870
16 Bi 0.0000 0.0000 0.6870
17 H 0.0000 0.0000 0.0000
18 H 0.5000 0.5000 0.5000

Entry 4:
First-principles (GGA-PBE) data for a geometry-optimized Ca4Bi2H3 structure, as listed in the Alexandria database.

Size of the total moment   0.00 μB per atom
SG   Cmce
VASP energy   -3.3505 eV per atom

Unit cell a=6.8651 b=8.6234 c=7.8211 alpha=90.00 beta=116.03 gamma=90.00
Fractional coordinates of all 18 atoms:
1 Ca 0.6990 0.7500 0.8980
2 Ca 0.8010 0.2500 0.1020
3 Ca 0.3010 0.2500 0.1020
4 Ca 0.1990 0.7500 0.8980
5 Ca 0.2012 0.8810 0.4023
6 Ca 0.7988 0.1190 0.5977
7 Ca 0.2988 0.3810 0.5977
8 Ca 0.7012 0.6190 0.4023
9 Bi 0.1080 0.5603 0.2161
10 Bi 0.8920 0.4397 0.7839
11 Bi 0.3920 0.0603 0.7839
12 Bi 0.6080 0.9397 0.2161
13 H 0.0000 0.0000 0.0000
14 H 0.5000 0.5000 0.0000
15 H 0.5373 0.7500 0.5746
16 H 0.9627 0.2500 0.4254
17 H 0.4627 0.2500 0.4254
18 H 0.0373 0.7500 0.5746

Entry 5:
First-principles (GGA-PBE) data for a geometry-optimized Ca5Bi2H2 structure, as listed in the Alexandria database.

Size of the total moment   0.00 μB per atom
SG   C2/m
VASP energy   -3.2689 eV per atom

Unit cell a=5.1908 b=6.8164 c=7.2610 alpha=100.66 beta=90.00 gamma=112.38
Fractional coordinates of all 9 atoms:
1 Ca 0.3233 0.6466 0.1193
2 Ca 0.6767 0.3534 0.8807
3 Ca 0.1493 0.2986 0.5490
4 Ca 0.8507 0.7014 0.4510
5 Ca 0.0000 0.0000 0.0000
6 Bi 0.4109 0.8218 0.7130
7 Bi 0.5891 0.1782 0.2870
8 H 0.1612 0.3224 0.8848
9 H 0.8388 0.6776 0.1152

Entry 6:
First-principles (GGA-PBE) data for a geometry-optimized Ca2BiH3 structure, as listed in the Alexandria database.

Size of the total moment   0.00 μB per atom
SG   C2/m
VASP energy   -3.4950 eV per atom

Unit cell a=3.6460 b=6.8842 c=10.0034 alpha=113.71 beta=90.00 gamma=105.36
Fractional coordinates of all 12 atoms:
1 Ca 0.4993 0.9986 0.7525
2 Ca 0.5007 0.0014 0.2475
3 Ca 0.8321 0.6641 0.4103
4 Ca 0.1679 0.3359 0.5897
5 Bi 0.8666 0.7331 0.9282
6 Bi 0.1334 0.2669 0.0718
7 H 0.3313 0.6626 0.5584
8 H 0.9936 0.9872 0.6252
9 H 0.6429 0.2859 0.6982
10 H 0.3571 0.7141 0.3018
11 H 0.0064 0.0128 0.3748
12 H 0.6687 0.3374 0.4416

Entry 7:
First-principles (GGA-PBE) data for a geometry-optimized CaBiH3 structure, as listed in the Alexandria database.

Size of the total moment   0.00 μB per atom
SG   Pm-3m
Excess energy over the best structure of this formula in the dataset   79 kJ/mol of formula units
VASP energy   -2.8360 eV per atom

Unit cell a=4.3917 b=4.3917 c=4.3917 alpha=90.00 beta=90.00 gamma=90.00
Fractional coordinates of all 5 atoms:
1 H 0.0000 0.5000 0.0000
2 H 0.0000 0.0000 0.5000
3 H 0.5000 0.0000 0.0000
4 Ca 0.5000 0.5000 0.5000
5 Bi 0.0000 0.0000 0.0000

Entry 8:
First-principles (GGA-PBE) data for a geometry-optimized Ca4BiH2 structure, as listed in the Alexandria database.

Size of the total moment   0.00 μB per atom
SG   I-4
VASP energy   -3.0926 eV per atom

Unit cell a=8.0604 b=8.0605 c=8.0592 alpha=104.09 beta=104.08 gamma=120.90
Fractional coordinates of all 14 atoms:
1 Ca 0.9271 0.1817 0.3344
2 Ca 0.3708 0.5303 0.2059
3 Ca 0.8473 0.5926 0.6656
4 Ca 0.8183 0.1527 0.7454
5 Ca 0.4073 0.0729 0.2545
6 Ca 0.3244 0.1649 0.7941
7 Ca 0.4697 0.6755 0.8405
8 Ca 0.8351 0.6292 0.1595
9 Bi 0.2500 0.7500 0.5000
10 Bi 0.0000 0.0000 0.0000
11 H 0.6130 0.4830 0.8383
12 H 0.6447 0.7747 0.1617
13 H 0.5170 0.3554 0.1301
14 H 0.2253 0.3870 0.8699

What is the size of the total moment in the fourth record?
0.00 μB per atom

What is the formula in the eighth record?
Ca4BiH2